Record 1
Ho2MgAl: optimized geometry, GGA-PBE.

## Properties
DOS at the Fermi energy = 2.278 states/eV/f.u.
magnetic moment = 0.000 μB per formula unit
symmetry = P4/mmm (123)
offset from the most stable computed form = 1.4 kJ per mole of atoms
energy = -3.878 eV/atom
ΔE_f = -0.255 eV per atom

Lattice parameters (Å, degrees): 3.655 3.655 7.460 90.00 90.00 90.00
Sites, in units of the cell vectors:
Mg1 0.500 0.500 0.500
Ho1 0.000 0.000 0.764
Ho2 0.000 0.000 0.236
Al1 0.500 0.500 0.000

Record 2
GeIrRu3: optimized geometry, GGA-PBE.

## Properties
DOS at the Fermi energy = 7.698 states/eV/f.u.
magnetic moment = 0.000 μB per formula unit
symmetry = Pm-3m (221)
offset from the most stable computed form = 0.0 kJ per mole of atoms
energy = -6.828 eV/atom
ΔE_f = 1.433 eV per atom

Lattice parameters (Å, degrees): 4.428 4.428 4.428 90.00 90.00 90.00
Sites, in units of the cell vectors:
Ru1 0.000 0.500 0.000
Ru2 0.000 0.000 0.500
Ru3 0.500 0.000 0.000
Ge1 0.000 0.000 0.000
Ir1 0.500 0.500 0.500

Record 3
Er2Al3Ge4: optimized geometry, GGA-PBE.

## Properties
DOS at the Fermi energy = 1.850 states/eV/f.u.
magnetic moment = 0.000 μB per formula unit
symmetry = Cmce (64)
energy = -4.731 eV/atom
ΔE_f = -0.417 eV per atom

Lattice parameters (Å, degrees): 7.915 7.915 7.901 90.00 90.00 135.55
Sites, in units of the cell vectors:
Er1 0.115 0.885 0.420
Er2 0.885 0.115 0.580
Er3 0.385 0.615 0.920
Er4 0.615 0.385 0.080
Al1 0.000 0.000 0.000
Al2 0.500 0.500 0.500
Al3 0.034 0.466 0.250
Al4 0.466 0.034 0.750
Al5 0.966 0.534 0.750
Al6 0.534 0.966 0.250
Ge1 0.206 0.294 0.250
Ge2 0.294 0.206 0.750
Ge3 0.794 0.706 0.750
Ge4 0.706 0.794 0.250
Ge5 0.185 0.815 0.053
Ge6 0.815 0.185 0.947
Ge7 0.315 0.685 0.553
Ge8 0.685 0.315 0.447

Record 4
LiTa2VFe: optimized geometry, GGA-PBE.

## Properties
DOS at the Fermi energy = 3.769 states/eV/f.u.
magnetic moment = 2.822 μB per formula unit
symmetry = P4/mmm (123)
energy = -7.287 eV/atom
ΔE_f = 1.353 eV per atom

Lattice parameters (Å, degrees): 4.563 4.449 4.563 90.00 90.00 90.00
Sites, in units of the cell vectors:
V1 0.000 0.000 0.000
Li1 0.000 0.500 0.000
Fe1 0.500 0.500 0.500
Ta1 0.000 0.000 0.500
Ta2 0.500 0.000 0.000

- Which of these has the highest DOS at the Fermi energy?
  GeIrRu3